# Tb6Er3Pu

A geometry-optimized Tb6Er3Pu structure (PBE, Alexandria).

Properties
ΔH_f (0 K), eV/atom: 0.239
DOS at the Fermi energy, states/eV per atom: 1.624
E_tot, eV/atom: -5.341
V, Å³/cell: 316.89

POSCAR file:
```
Tb6Er3Pu
1.0
8.589 0.000 4.558
3.085 8.016 4.558
2.164 1.486 6.293
Tb Er Pu
6 3 1
direct
0.901 0.576 0.298
0.225 0.901 0.298
0.576 0.225 0.298
0.068 0.402 0.797
0.734 0.068 0.797
0.402 0.734 0.797
0.399 0.399 0.804
0.654 0.654 0.038
0.143 0.143 0.571
0.899 0.899 0.304
```